Record 1
AlSbAs3: relaxed, PBE.

Calculated values
The value obtained for the uncorrected formation energy is 0.47 eV/atom. For the energy above the most stable polymorph in this dataset, the calculation gives 0.000 eV per atom.

abc: 4.876 4.876 4.876
angles: 90.00 90.00 90.00
Atoms (fractional coordinates):
Al1 0.000 0.000 0.000
Sb1 0.500 0.500 0.500
As1 0.000 0.000 0.500
As2 0.000 0.500 0.000
As3 0.500 0.000 0.000

***

Record 2
CoSiW2: relaxed, PBE.

Calculated values
The value obtained for the uncorrected formation energy is 0.04 eV/atom.

abc: 2.711 3.963 5.211
angles: 90.00 98.26 90.00
Atoms (fractional coordinates):
Co1 0.000 0.000 0.000
Si1 0.000 0.000 0.500
W1 0.482 0.500 0.749
W2 0.518 0.500 0.251

***

Record 3
Dy3YHo6Sc2: relaxed, PBE.

Calculated values
For the formation energy, the calculation gives 0.85 kcal/mol of atoms.

abc: 6.048 6.048 11.547
angles: 95.00 95.00 119.94
Atoms (fractional coordinates):
Dy1 0.000 0.000 0.000
Dy2 0.333 0.667 0.000
Dy3 0.667 0.333 0.000
Y1 0.500 0.500 0.500
Ho1 0.081 0.418 0.255
Ho2 0.246 0.246 0.745
Ho3 0.418 0.081 0.255
Ho4 0.582 0.919 0.745
Ho5 0.754 0.754 0.255
Ho6 0.919 0.582 0.745
Sc1 0.167 0.833 0.500
Sc2 0.833 0.167 0.500

***

Record 4
TmPu3Tl4O12: relaxed, PBE.

Calculated values
The value obtained for the uncorrected formation energy is -2.18 eV/atom.

abc: 7.457 7.457 7.457
angles: 109.47 109.47 109.47
Atoms (fractional coordinates):
Tm1 0.000 0.000 0.000
Pu1 0.000 0.500 0.500
Pu2 0.500 0.000 0.500
Pu3 0.500 0.500 0.000
Tl1 0.000 0.000 0.500
Tl2 0.000 0.500 0.000
Tl3 0.500 0.000 0.000
Tl4 0.500 0.500 0.500
O1 0.000 0.264 0.264
O2 0.000 0.736 0.736
O3 0.250 0.500 0.750
O4 0.250 0.750 0.500
O5 0.264 0.000 0.264
O6 0.264 0.264 0.000
O7 0.500 0.250 0.750
O8 0.500 0.750 0.250
O9 0.736 0.000 0.736
O10 0.736 0.736 0.000
O11 0.750 0.250 0.500
O12 0.750 0.500 0.250

***

Record 5
Ga12Si5Ag3: relaxed, PBE.

Calculated values
The value obtained for the uncorrected formation energy is 0.14 eV/atom.

abc: 12.873 12.873 12.873
angles: 109.47 109.47 109.47
Atoms (fractional coordinates):
Ga1 0.055 0.228 0.125
Ga2 0.055 0.327 0.930
Ga3 0.070 0.625 0.397
Ga4 0.070 0.945 0.673
Ga5 0.103 0.728 0.673
Ga6 0.103 0.875 0.430
Ga7 0.125 0.055 0.228
Ga8 0.125 0.570 0.897
Ga9 0.173 0.228 0.603
Ga10 0.173 0.445 0.570
Ga11 0.228 0.125 0.055
Ga12 0.228 0.603 0.173
Ga13 0.272 0.327 0.897
Ga14 0.272 0.445 0.375
Ga15 0.327 0.897 0.272
Ga16 0.327 0.930 0.055
Ga17 0.375 0.272 0.445
Ga18 0.375 0.603 0.930
Ga19 0.397 0.070 0.625
Ga20 0.397 0.827 0.772
Ga21 0.430 0.103 0.875
Ga22 0.430 0.827 0.555
Ga23 0.445 0.375 0.272
Ga24 0.445 0.570 0.173
Ga25 0.555 0.430 0.827
Ga26 0.555 0.625 0.728
Ga27 0.570 0.173 0.445
Ga28 0.570 0.897 0.125
Ga29 0.603 0.173 0.228
Ga30 0.603 0.930 0.375
Ga31 0.625 0.397 0.070
Ga32 0.625 0.728 0.555
Ga33 0.673 0.070 0.945
Ga34 0.673 0.103 0.728
Ga35 0.728 0.555 0.625
Ga36 0.728 0.673 0.103
Ga37 0.772 0.397 0.827
Ga38 0.772 0.875 0.945
Ga39 0.827 0.555 0.430
Ga40 0.827 0.772 0.397
Ga41 0.875 0.430 0.103
Ga42 0.875 0.945 0.772
Ga43 0.897 0.125 0.570
Ga44 0.897 0.272 0.327
Ga45 0.930 0.055 0.327
Ga46 0.930 0.375 0.603
Ga47 0.945 0.673 0.070
Ga48 0.945 0.772 0.875
Si1 0.000 0.000 0.000
Si2 0.000 0.000 0.500
Si3 0.000 0.500 0.000
Si4 0.000 0.500 0.500
Si5 0.125 0.750 0.875
Si6 0.125 0.875 0.250
Si7 0.250 0.125 0.875
Si8 0.250 0.625 0.375
Si9 0.375 0.250 0.625
Si10 0.375 0.625 0.750
Si11 0.500 0.000 0.000
Si12 0.500 0.000 0.500
Si13 0.500 0.500 0.000
Si14 0.500 0.500 0.500
Si15 0.625 0.375 0.250
Si16 0.625 0.750 0.375
Si17 0.750 0.375 0.625
Si18 0.750 0.875 0.125
Si19 0.875 0.125 0.750
Si20 0.875 0.250 0.125
Ag1 0.125 0.250 0.375
Ag2 0.125 0.375 0.750
Ag3 0.250 0.375 0.125
Ag4 0.250 0.875 0.625
Ag5 0.375 0.125 0.250
Ag6 0.375 0.750 0.125
Ag7 0.625 0.250 0.875
Ag8 0.625 0.875 0.750
Ag9 0.750 0.125 0.375
Ag10 0.750 0.625 0.875
Ag11 0.875 0.625 0.250
Ag12 0.875 0.750 0.625

***

Record 6
MgTlC3: relaxed, PBE.

Calculated values
For the formation energy, the calculation gives 73.18 kcal/mol of atoms. For the energy above the most stable polymorph in this dataset, the calculation gives 0.392 eV per atom.

abc: 4.429 4.429 4.429
angles: 90.00 90.00 90.00
Atoms (fractional coordinates):
Mg1 0.000 0.000 0.000
Tl1 0.500 0.500 0.500
C1 0.000 0.500 0.500
C2 0.500 0.000 0.500
C3 0.500 0.500 0.000